Below is a PBEsol-optimized structure of MnZn4Ag, with properties calculated at the meta-GGA SCAN level.

The structure in POSCAR format:
```
MnZn4Ag
1.0
-1.1764 -1.3467 -4.6260
3.3950 -2.1733 -2.8892
-0.4320 -4.8050 -1.1499
Ag Zn Mn
1 4 1
direct
0.7500 0.7500 0.7500 Ag
0.8759 0.3747 0.3747 Zn
0.3747 0.3747 0.3747 Zn
0.3747 0.3747 0.8759 Zn
0.3747 0.8759 0.3747 Zn
0.0000 0.0000 0.0000 Mn
```

Properties
ΔH_f (0 K): -7.1 kJ/mol of atoms
space group: F-43m, No. 216